Entry from Alexandria: crystalline CrGePdO at its relaxed geometry (PBE with a Hubbard U).

Cell: 2.8494 2.9782 7.4030 Å, 90.00 90.00 90.00°
Sites, in units of the cell vectors:
O 0.5000 0.5000 0.1900
Pd 0.5000 0.5000 0.5150
Ge 0.5000 0.0000 0.7798
Cr 0.0000 0.0000 0.1803

Output
The polymorph energy (0 for the lowest one) comes out at 0.245 eV per formula unit. Its symmetry is Pmm2, No. 25. The total DFT energy (no corrections) is -25.00 eV/cell. As for the spin magnetization: 0.9408 μB per atom.